1.
An optimized crystal structure of LiTcAsO. Source: OQMD, functional GGA-PBE.

Summary:
Density in g/cm3: 5.71
Offset from the most stable computed form in meV/atom: 198.5
Electronic total energy in eV for the cell shown: -49.333

a = 3.683 Å, b = 5.994 Å, c = 5.162 Å
α = 90.00°, β = 90.00°, γ = 90.00°
Atoms (fractional coordinates):
Li: 0.500 0.992 0.618
Li: 0.500 0.008 0.118
O: 0.500 0.750 0.355
O: 0.500 0.250 0.855
Tc: 0.000 0.346 0.906
Tc: 0.000 0.654 0.406
As: 0.000 0.743 0.875
As: 0.000 0.257 0.375

=====

2.
An optimized crystal structure of LiTcAsO. Source: OQMD, functional GGA-PBE.

Summary:
Density in g/cm3: 6.42
Offset from the most stable computed form in meV/atom: 504.4
Electronic total energy in eV for the cell shown: -46.886

a = 3.396 Å, b = 3.396 Å, c = 8.786 Å
α = 90.00°, β = 90.00°, γ = 90.00°
Atoms (fractional coordinates):
Tc: 0.500 0.000 0.146
Tc: 0.000 0.500 0.854
As: 0.000 0.500 0.287
As: 0.500 0.000 0.713
Li: 0.500 0.500 0.500
Li: 0.000 0.000 0.500
O: 0.000 0.000 0.000
O: 0.500 0.500 0.000

=====

3.
An optimized crystal structure of LiTcAsO. Source: OQMD, functional GGA-PBE.

Summary:
Density in g/cm3: 5.81
Offset from the most stable computed form in meV/atom: 529.7
Electronic total energy in eV for the cell shown: -46.684

a = 3.713 Å, b = 3.713 Å, c = 8.123 Å
α = 90.00°, β = 90.00°, γ = 90.00°
Atoms (fractional coordinates):
Tc: 0.250 0.750 0.500
Tc: 0.750 0.250 0.500
O: 0.250 0.750 0.000
O: 0.750 0.250 0.000
As: 0.250 0.250 0.721
As: 0.750 0.750 0.279
Li: 0.750 0.750 0.938
Li: 0.250 0.250 0.062

=====

4.
An optimized crystal structure of LiZnAsO. Source: OQMD, functional GGA-PBE.

Summary:
Density in g/cm3: 5.06
Offset from the most stable computed form in meV/atom: 535.3
Electronic total energy in eV for the cell shown: -28.656

a = 3.879 Å, b = 3.879 Å, c = 7.119 Å
α = 90.00°, β = 90.00°, γ = 90.00°
Atoms (fractional coordinates):
Zn: 0.000 0.000 0.500
Zn: 0.500 0.500 0.500
O: 0.500 0.500 0.000
O: 0.000 0.000 0.000
Li: 0.500 0.000 0.083
Li: 0.000 0.500 0.917
As: 0.000 0.500 0.260
As: 0.500 0.000 0.740

=====

5.
An optimized crystal structure of LiZnAsO4. Source: OQMD, functional GGA-PBE.

Summary:
Density in g/cm3: 4.64
Offset from the most stable computed form in meV/atom: 58.3
Electronic total energy in eV for the cell shown: -76.743

a = 5.128 Å, b = 5.128 Å, c = 6.265 Å
α = 90.00°, β = 90.00°, γ = 113.24°
Atoms (fractional coordinates):
O: 0.756 0.718 0.750
O: 0.762 0.238 0.974
O: 0.762 0.238 0.526
O: 0.282 0.244 0.750
O: 0.244 0.282 0.250
O: 0.718 0.756 0.250
O: 0.238 0.762 0.474
O: 0.238 0.762 0.026
As: 0.650 0.350 0.750
As: 0.350 0.650 0.250
Zn: 0.000 0.000 0.000
Zn: 0.000 0.000 0.500
Li: 0.336 0.664 0.750
Li: 0.664 0.336 0.250

=====

6.
An optimized crystal structure of LiZnAsO. Source: OQMD, functional GGA-PBE.

Summary:
Density in g/cm3: 4.47
Offset from the most stable computed form in meV/atom: 6.7
Electronic total energy in eV for the cell shown: -32.885

a = 3.112 Å, b = 7.364 Å, c = 5.293 Å
α = 90.00°, β = 90.00°, γ = 90.00°
Atoms (fractional coordinates):
Li: 0.500 0.618 0.521
Li: 0.500 0.382 0.021
O: 0.500 0.608 0.876
O: 0.500 0.392 0.376
Zn: 0.000 0.747 0.947
Zn: 0.000 0.253 0.447
As: 0.000 0.926 0.410
As: 0.000 0.074 0.910

=====

7.
An optimized crystal structure of LiZnAsO. Source: OQMD, functional GGA-PBE.

Summary:
Density in g/cm3: 4.68
Offset from the most stable computed form in meV/atom: 0.0
Electronic total energy in eV for the cell shown: -32.939

a = 3.149 Å, b = 7.017 Å, c = 5.238 Å
α = 90.00°, β = 90.00°, γ = 90.00°
Atoms (fractional coordinates):
O: 0.500 0.588 0.850
O: 0.500 0.412 0.350
Li: 0.000 0.323 0.491
Li: 0.000 0.677 0.991
As: 0.000 0.946 0.417
As: 0.000 0.054 0.917
Zn: 0.500 0.662 0.496
Zn: 0.500 0.338 0.996

=====

8.
An optimized crystal structure of LiZnAsO. Source: OQMD, functional GGA-PBE.

Summary:
Density in g/cm3: 4.26
Offset from the most stable computed form in meV/atom: 619.7
Electronic total energy in eV for the cell shown: -27.981

a = 3.675 Å, b = 3.675 Å, c = 9.430 Å
α = 90.00°, β = 90.00°, γ = 90.00°
Atoms (fractional coordinates):
O: 0.250 0.750 0.000
O: 0.750 0.250 0.000
Zn: 0.250 0.250 0.082
Zn: 0.750 0.750 0.918
As: 0.250 0.250 0.704
As: 0.750 0.750 0.296
Li: 0.250 0.750 0.500
Li: 0.750 0.250 0.500

=====

9.
An optimized crystal structure of LiZnAsO4. Source: OQMD, functional GGA-PBE.

Summary:
Density in g/cm3: 3.94
Offset from the most stable computed form in meV/atom: 0.0
Electronic total energy in eV for the cell shown: -232.676

a = 8.689 Å, b = 8.689 Å, c = 8.689 Å
α = 107.75°, β = 107.75°, γ = 107.75°
Atoms (fractional coordinates):
Zn: 0.665 0.497 0.259
Zn: 0.784 0.950 0.183
Zn: 0.497 0.259 0.665
Zn: 0.950 0.183 0.784
Zn: 0.183 0.784 0.950
Zn: 0.259 0.665 0.497
As: 0.004 0.826 0.593
As: 0.826 0.593 0.004
As: 0.593 0.004 0.826
As: 0.290 0.522 0.113
As: 0.522 0.113 0.290
As: 0.113 0.290 0.522
Li: 0.162 0.933 0.330
Li: 0.450 0.617 0.854
Li: 0.933 0.330 0.162
Li: 0.617 0.854 0.450
Li: 0.854 0.450 0.617
Li: 0.330 0.162 0.933
O: 0.093 0.415 0.405
O: 0.814 0.477 0.131
O: 0.477 0.131 0.814
O: 0.637 0.986 0.310
O: 0.754 0.086 0.040
O: 0.405 0.093 0.415
O: 0.690 0.699 0.023
O: 0.310 0.637 0.986
O: 0.669 0.333 0.374
O: 0.986 0.310 0.637
O: 0.449 0.782 0.746
O: 0.415 0.405 0.093
O: 0.131 0.814 0.477
O: 0.072 0.369 0.032
O: 0.782 0.746 0.449
O: 0.023 0.690 0.699
O: 0.746 0.449 0.782
O: 0.374 0.669 0.333
O: 0.040 0.754 0.086
O: 0.032 0.072 0.369
O: 0.086 0.040 0.754
O: 0.333 0.374 0.669
O: 0.369 0.032 0.072
O: 0.699 0.023 0.690

=====

10.
An optimized crystal structure of LiZrAsO. Source: OQMD, functional GGA-PBE.

Summary:
Density in g/cm3: 4.91
Offset from the most stable computed form in meV/atom: 270.3
Electronic total energy in eV for the cell shown: -51.677

a = 5.387 Å, b = 5.387 Å, c = 4.409 Å
α = 90.00°, β = 90.00°, γ = 90.00°
Atoms (fractional coordinates):
Zr: 0.500 0.500 0.500
Zr: 0.000 0.000 0.500
O: 0.000 0.000 0.000
O: 0.500 0.500 0.000
As: 0.500 0.000 0.506
As: 0.000 0.500 0.494
Li: 0.500 0.000 0.005
Li: 0.000 0.500 0.995

=====

11.
An optimized crystal structure of LiZrAsO. Source: OQMD, functional GGA-PBE.

Summary:
Density in g/cm3: 4.88
Offset from the most stable computed form in meV/atom: 42.9
Electronic total energy in eV for the cell shown: -53.496

a = 4.157 Å, b = 5.619 Å, c = 5.509 Å
α = 90.00°, β = 90.00°, γ = 90.00°
Atoms (fractional coordinates):
O: 0.500 0.712 0.893
O: 0.500 0.288 0.393
As: 0.000 0.755 0.394
As: 0.000 0.245 0.894
Li: 0.500 0.419 0.070
Li: 0.500 0.581 0.570
Zr: 0.000 0.768 0.897
Zr: 0.000 0.232 0.397

=====

12.
An optimized crystal structure of LiZrAsO. Source: OQMD, functional GGA-PBE.

Summary:
Density in g/cm3: 5.35
Offset from the most stable computed form in meV/atom: 0.0
Electronic total energy in eV for the cell shown: -53.839

a = 3.647 Å, b = 3.647 Å, c = 8.821 Å
α = 90.00°, β = 90.00°, γ = 90.00°
Atoms (fractional coordinates):
Li: 0.500 0.500 0.500
Li: 0.000 0.000 0.500
As: 0.500 0.000 0.700
As: 0.000 0.500 0.300
O: 0.000 0.000 0.000
O: 0.500 0.500 0.000
Zr: 0.000 0.500 0.860
Zr: 0.500 0.000 0.140

=====

13.
An optimized crystal structure of LiZrAsO. Source: OQMD, functional GGA-PBE.

Summary:
Density in g/cm3: 4.49
Offset from the most stable computed form in meV/atom: 16.7
Electronic total energy in eV for the cell shown: -53.705

a = 3.627 Å, b = 6.131 Å, c = 6.283 Å
α = 90.00°, β = 90.00°, γ = 90.00°
Atoms (fractional coordinates):
Li: 0.000 0.643 0.422
Li: 0.000 0.357 0.922
As: 0.000 0.233 0.346
As: 0.000 0.767 0.846
Zr: 0.500 0.973 0.111
Zr: 0.500 0.027 0.611
O: 0.500 0.775 0.375
O: 0.500 0.225 0.875

=====

14.
An optimized crystal structure of LiZr2As3O12. Source: OQMD, functional GGA-PBE.

Summary:
Density in g/cm3: 3.72
Electronic total energy in eV for the cell shown: -257.623

a = 9.090 Å, b = 9.090 Å, c = 9.090 Å
α = 60.82°, β = 60.82°, γ = 60.82°
Atoms (fractional coordinates):
O: 0.997 0.619 0.822
O: 0.251 0.913 0.057
O: 0.587 0.249 0.443
O: 0.003 0.381 0.178
O: 0.619 0.822 0.997
O: 0.413 0.751 0.557
O: 0.678 0.881 0.503
O: 0.881 0.503 0.678
O: 0.822 0.997 0.619
O: 0.751 0.557 0.413
O: 0.443 0.587 0.249
O: 0.249 0.443 0.587
O: 0.381 0.178 0.003
O: 0.913 0.057 0.251
O: 0.119 0.497 0.322
O: 0.557 0.413 0.751
O: 0.503 0.678 0.881
O: 0.057 0.251 0.913
O: 0.178 0.003 0.381
O: 0.087 0.943 0.749
O: 0.749 0.087 0.943
O: 0.322 0.119 0.497
O: 0.943 0.749 0.087
O: 0.497 0.322 0.119
As: 0.454 0.750 0.046
As: 0.046 0.454 0.750
As: 0.250 0.954 0.546
As: 0.954 0.546 0.250
As: 0.750 0.046 0.454
As: 0.546 0.250 0.954
Zr: 0.139 0.139 0.139
Zr: 0.639 0.639 0.639
Zr: 0.861 0.861 0.861
Zr: 0.361 0.361 0.361
Li: 0.500 0.500 0.500
Li: 0.000 0.000 0.000

=====

15.
An optimized crystal structure of LiAs5Os3. Source: OQMD, functional GGA-PBE.

Summary:
Density in g/cm3: 8.19
Electronic total energy in eV for the cell shown: -55.859

a = 5.549 Å, b = 5.549 Å, c = 7.245 Å
α = 90.00°, β = 90.00°, γ = 120.00°
Atoms (fractional coordinates):
As: 0.000 0.000 0.500
As: 0.333 0.667 0.770
As: 0.333 0.667 0.230
As: 0.667 0.333 0.230
As: 0.667 0.333 0.770
Os: 0.500 0.000 0.500
Os: 0.000 0.500 0.500
Os: 0.500 0.500 0.500
Li: 0.000 0.000 0.000

=====

16.
An optimized crystal structure of LiAsOsPb. Source: OQMD, functional GGA-PBE.

Summary:
Density in g/cm3: 11.11
Offset from the most stable computed form in meV/atom: 358.4
Electronic total energy in eV for the cell shown: -19.099

a = 4.661 Å, b = 4.661 Å, c = 4.661 Å
α = 60.00°, β = 60.00°, γ = 60.00°
Atoms (fractional coordinates):
As: 0.250 0.250 0.250
Li: 0.750 0.750 0.750
Os: 0.000 0.000 0.000
Pb: 0.500 0.500 0.500

=====

17.
An optimized crystal structure of LiAsOsPb. Source: OQMD, functional GGA-PBE.

Summary:
Density in g/cm3: 11.52
Offset from the most stable computed form in meV/atom: 0.0
Electronic total energy in eV for the cell shown: -20.532

a = 4.605 Å, b = 4.605 Å, c = 4.605 Å
α = 60.00°, β = 60.00°, γ = 60.00°
Atoms (fractional coordinates):
Os: 0.250 0.250 0.250
Li: 0.750 0.750 0.750
Pb: 0.500 0.500 0.500
As: 0.000 0.000 0.000

=====

18.
An optimized crystal structure of LiSiAsOs. Source: OQMD, functional GGA-PBE.

Summary:
Density in g/cm3: 9.07
Offset from the most stable computed form in meV/atom: 0.0
Electronic total energy in eV for the cell shown: -23.738

a = 4.268 Å, b = 4.268 Å, c = 4.268 Å
α = 60.00°, β = 60.00°, γ = 60.00°
Atoms (fractional coordinates):
As: 0.000 0.000 0.000
Si: 0.500 0.500 0.500
Li: 0.750 0.750 0.750
Os: 0.250 0.250 0.250

=====

19.
An optimized crystal structure of LiSiAsOs. Source: OQMD, functional GGA-PBE.

Summary:
Density in g/cm3: 8.85
Offset from the most stable computed form in meV/atom: 406.5
Electronic total energy in eV for the cell shown: -22.112

a = 4.303 Å, b = 4.303 Å, c = 4.303 Å
α = 60.00°, β = 60.00°, γ = 60.00°
Atoms (fractional coordinates):
Li: 0.750 0.750 0.750
Si: 0.250 0.250 0.250
As: 0.500 0.500 0.500
Os: 0.000 0.000 0.000

=====

20.
An optimized crystal structure of LiSnAsOs. Source: OQMD, functional GGA-PBE.

Summary:
Density in g/cm3: 9.72
Offset from the most stable computed form in meV/atom: 456.0
Electronic total energy in eV for the cell shown: -19.896

a = 4.554 Å, b = 4.554 Å, c = 4.554 Å
α = 60.00°, β = 60.00°, γ = 60.00°
Atoms (fractional coordinates):
As: 0.250 0.250 0.250
Os: 0.000 0.000 0.000
Li: 0.750 0.750 0.750
Sn: 0.500 0.500 0.500